1.
This record from the Alexandria database describes a geometry-optimized K2SbAu structure. The functional is PBE.

size of the total moment: 0.000 μB/atom
ρ: 5.4 g/cm3
ΔE_f (raw): -0.97 eV per formula unit
DOS(E_F): 0.8 states/eV/cell

Geometry as CIF:
```
data_K2SbAu
_cell_length_a 6.335
_cell_length_b 10.151
_cell_length_c 3.820
_cell_angle_alpha 90.00
_cell_angle_beta 90.00
_cell_angle_gamma 90.00
_symmetry_space_group_name_H-M 'C m m m'
_symmetry_Int_Tables_number 65
_symmetry_space_group_name_Hall '-C 2 2'
loop_
_atom_site_label
_atom_site_type_symbol
_atom_site_fract_x
_atom_site_fract_y
_atom_site_fract_z
K1 K 0.250 0.250 0.000
Sb1 Sb 0.000 0.000 0.500
Au1 Au 0.000 0.500 0.500
```

=====

2.
This record from the Alexandria database describes a geometry-optimized CaSm2N structure. The functional is PBE.

size of the total moment: 0.194 μB/atom
ρ: 5.4 g/cm3
ΔE_f (raw): -2.42 eV per formula unit
DOS(E_F): 13.0 states/eV/cell

Geometry as CIF:
```
data_CaSm2N
_cell_length_a 3.6067
_cell_length_b 3.6067
_cell_length_c 29.2397
_cell_angle_alpha 90.00
_cell_angle_beta 90.00
_cell_angle_gamma 120.00
_symmetry_space_group_name_H-M 'R -3 m'
_symmetry_Int_Tables_number 166
_symmetry_space_group_name_Hall '-R 3 2"'
loop_
_atom_site_label
_atom_site_type_symbol
_atom_site_fract_x
_atom_site_fract_y
_atom_site_fract_z
Ca1 Ca 0.0000 0.0000 0.0000
Sm1 Sm 0.0000 0.0000 0.1205
N1 N 0.0000 0.0000 0.5000
```

=====

3.
This record from the Alexandria database describes a geometry-optimized Ca3Pa2MnAs6 structure. The functional is PBE.

size of the total moment: 0.418 μB/atom
formation energy from the elements: -963 meV per atom
ρ: 6.0 g/cm3
DOS(E_F): 2.1 states/eV/cell

Geometry as CIF:
```
data_Ca3Pa2MnAs6
_cell_length_a 7.147
_cell_length_b 12.372
_cell_length_c 7.224
_cell_angle_alpha 90.00
_cell_angle_beta 109.22
_cell_angle_gamma 90.00
_symmetry_space_group_name_H-M 'C 1 2/m 1'
_symmetry_Int_Tables_number 12
loop_
_symmetry_equiv_pos_as_xyz
'x,y,z'
'-x,-y,-z'
'-x,y,-z'
'x,-y,z'
'x+1/2,y+1/2,z'
'-x+1/2,-y+1/2,-z'
'-x+1/2,y+1/2,-z'
'x+1/2,-y+1/2,z'
loop_
_atom_site_label
_atom_site_type_symbol
_atom_site_fract_x
_atom_site_fract_y
_atom_site_fract_z
Ca1 Ca 0.000 0.000 0.000
Ca2 Ca 0.000 0.334 0.000
Pa1 Pa 0.000 0.167 0.500
Mn1 Mn 0.000 0.500 0.500
As1 As 0.241 0.334 0.727
As2 As 0.244 0.000 0.729
```

=====

4.
This record from the Alexandria database describes a geometry-optimized PaIn3Pb2Se6 structure. The functional is PBE.

size of the total moment: 0.000 μB/atom
ρ: 6.6 g/cm3
ΔE_f (raw): -8.68 eV per formula unit

Geometry as CIF:
```
data_PaIn3Pb2Se6
_cell_length_a 7.548
_cell_length_b 12.965
_cell_length_c 7.907
_cell_angle_alpha 90.00
_cell_angle_beta 108.09
_cell_angle_gamma 90.00
_symmetry_space_group_name_H-M 'C 1 2/m 1'
_symmetry_Int_Tables_number 12
loop_
_symmetry_equiv_pos_as_xyz
'x,y,z'
'-x,-y,-z'
'-x,y,-z'
'x,-y,z'
'x+1/2,y+1/2,z'
'-x+1/2,-y+1/2,-z'
'-x+1/2,y+1/2,-z'
'x+1/2,-y+1/2,z'
loop_
_atom_site_label
_atom_site_type_symbol
_atom_site_fract_x
_atom_site_fract_y
_atom_site_fract_z
Pa1 Pa 0.000 0.000 0.000
In1 In 0.000 0.167 0.500
In2 In 0.000 0.500 0.500
Pb1 Pb 0.000 0.333 0.000
Se1 Se 0.223 0.151 0.216
Se2 Se 0.226 0.000 0.774
```

=====

5.
This record from the Alexandria database describes a geometry-optimized Sr2CoTeAs structure. The functional is PBE.

E above lowest polymorph: 0.000 eV/atom
size of the total moment: 0.000 μB/atom
ρ: 5.0 g/cm3
ΔE_f (raw): -3.84 eV per formula unit
DOS(E_F): 1.8 states/eV/cell

Geometry as CIF:
```
data_Sr2CoTeAs
_cell_length_a 5.829
_cell_length_b 5.829
_cell_length_c 4.304
_cell_angle_alpha 90.00
_cell_angle_beta 90.00
_cell_angle_gamma 90.00
_symmetry_space_group_name_H-M 'P 4/m m m'
_symmetry_Int_Tables_number 123
_symmetry_space_group_name_Hall '-P 4 2'
loop_
_atom_site_label
_atom_site_type_symbol
_atom_site_fract_x
_atom_site_fract_y
_atom_site_fract_z
Sr1 Sr 0.000 0.500 0.000
Co1 Co 0.000 0.000 0.000
Te1 Te 0.500 0.500 0.500
As1 As 0.000 0.000 0.500
```

=====

6.
This record from the Alexandria database describes a geometry-optimized CaWBr2 structure. The functional is PBE.

E above lowest polymorph: 0.265 eV/atom
size of the total moment: 0.000 μB/atom
ρ: 7.0 g/cm3
ΔE_f (raw): 0.76 eV per formula unit
DOS(E_F): 9.7 states/eV/cell

Geometry as CIF:
```
data_CaWBr2
_cell_length_a 3.3442
_cell_length_b 3.3442
_cell_length_c 28.0422
_cell_angle_alpha 90.00
_cell_angle_beta 90.00
_cell_angle_gamma 120.00
_symmetry_space_group_name_H-M 'R -3 m'
_symmetry_Int_Tables_number 166
_symmetry_space_group_name_Hall '-R 3 2"'
loop_
_atom_site_label
_atom_site_type_symbol
_atom_site_fract_x
_atom_site_fract_y
_atom_site_fract_z
Ca1 Ca 0.0000 0.0000 0.0000
W1 W 0.0000 0.0000 0.5000
Br1 Br 0.0000 0.0000 0.4098
```